Record 1
DFT (PBE-GGA) results for a relaxed TbTh2 crystal.

abc: 6.6260 6.6260 6.6260
angles: 60.00 60.00 60.00
Closest atoms and distances in Å follow each position.
Sites, in units of the cell vectors:
Th: 0.1250 0.6250 0.6250  6 Th 3.31
Th: 0.6250 0.1250 0.6250  6 Th 3.31
Th: 0.6250 0.6250 0.1250  6 Th 3.31
Th: 0.6250 0.6250 0.6250  6 Th 3.31
Tb: 0.0000 0.0000 0.0000  12 Th 3.88, 4 Tb 4.06
Tb: 0.2500 0.2500 0.2500  12 Th 3.88, 4 Tb 4.06

Results
**Magnetic moment**: 0.00 μB per cell
**E_form**: 0.2726 eV/atom
**DOS at the Fermi energy**: 1.86 states/eV/atom
**Final energy**: -6.2174 eV/atom


Record 2
DFT (PBE-GGA) results for a relaxed Tb3Th5 crystal.

abc: 5.0822 5.0411 10.0394
angles: 90.00 90.00 90.00
Closest atoms and distances in Å follow each position.
Sites, in units of the cell vectors:
Tb: 0.5000 0.5000 0.5000  8 Th 3.58, 4 Tb 3.59
Tb: 0.5000 0.0000 0.7545  10 Th 3.53-3.60, 2 Tb 3.59
Tb: 0.5000 0.0000 0.2455  10 Th 3.53-3.60, 2 Tb 3.59
Th: 0.0000 0.0000 0.5000  4 Th 3.56, 8 Tb 3.58-3.60
Th: 0.5000 0.5000 0.0000  4 Tb 3.53, 8 Th 3.56-3.58
Th: 0.0000 0.0000 0.0000  4 Tb 3.54, 8 Th 3.55-3.58
Th: 0.0000 0.5000 0.7510  6 Th 3.55-3.56, 6 Tb 3.58
Th: 0.0000 0.5000 0.2490  6 Th 3.55-3.56, 6 Tb 3.58

Results
**Magnetic moment**: 0.00 μB per cell
**E_form**: 0.0520 eV/atom
**DOS at the Fermi energy**: 1.36 states/eV/atom
**Final energy**: -6.3218 eV/atom


Record 3
DFT (PBE-GGA) results for a relaxed Tb5Th4 crystal.

abc: 5.0635 7.9698 7.9698
angles: 84.21 71.48 71.48
Closest atoms and distances in Å follow each position.
Sites, in units of the cell vectors:
Tb: 0.0000 0.0000 0.0000  4 Tb 3.51, 8 Th 3.57
Tb: 0.0000 0.6719 0.3281  6 Tb 3.51-3.67, 6 Th 3.54-3.57
Tb: 0.3281 0.6719 0.6719  6 Tb 3.51-3.67, 6 Th 3.54-3.57
Tb: 0.0000 0.3281 0.6719  6 Tb 3.51-3.67, 6 Th 3.54-3.57
Tb: 0.6719 0.3281 0.3281  6 Tb 3.51-3.67, 6 Th 3.54-3.57
Th: 0.3336 0.3328 0.0000  8 Tb 3.54-3.57, 4 Th 3.56-3.58
Th: 0.3336 0.0000 0.3328  8 Tb 3.54-3.57, 4 Th 3.56-3.58
Th: 0.6664 0.6672 0.0000  8 Tb 3.54-3.57, 4 Th 3.56-3.58
Th: 0.6664 0.0000 0.6672  8 Tb 3.54-3.57, 4 Th 3.56-3.58

Results
**Magnetic moment**: 0.00 μB per cell
**E_form**: 0.0489 eV/atom
**DOS at the Fermi energy**: 1.56 states/eV/atom
**Final energy**: -5.8212 eV/atom


Record 4
DFT (PBE-GGA) results for a relaxed Tb4Th5 crystal.

abc: 7.9770 6.1603 8.7559
angles: 89.98 43.12 97.35
Closest atoms and distances in Å follow each position.
Sites, in units of the cell vectors:
Tb: 0.6667 0.4441 0.2210  7 Th 3.52-3.60, 5 Tb 3.57-3.60
Tb: 0.9993 0.3327 0.6670  8 Th 3.53-3.60, 4 Tb 3.57-3.58
Tb: 0.0007 0.6673 0.3330  8 Th 3.53-3.60, 4 Tb 3.57-3.58
Tb: 0.3333 0.5559 0.7790  7 Th 3.52-3.60, 5 Tb 3.57-3.60
Th: 0.3351 0.2172 0.1086  6 Th 3.49-3.61, 6 Tb 3.53-3.60
Th: 0.3345 0.8954 0.4434  6 Tb 3.52-3.60, 6 Th 3.53-3.59
Th: 0.6649 0.7828 0.8914  6 Th 3.49-3.61, 6 Tb 3.53-3.60
Th: 0.6655 0.1046 0.5566  6 Tb 3.52-3.60, 6 Th 3.53-3.59
Th: 0.0000 0.0000 0.0000  6 Th 3.55-3.57, 6 Tb 3.56-3.57

Results
**Magnetic moment**: 0.00 μB per cell
**E_form**: 0.0457 eV/atom
**DOS at the Fermi energy**: 1.48 states/eV/atom
**Final energy**: -6.1343 eV/atom